A geometry-optimized Li2TcTe structure, computed with PBE-GGA.

Computed properties:
- calculated total energy (eV per formula unit) = -17.2
- volume (Å³/cell) = 64.2
- total magnetization (Bohr magnetons per cell) = 0.61

```
Li2TcTe
1.0
-1.132 1.233 3.350
-3.783 -1.441 -0.748
1.055 -3.652 1.700
Te Li Tc
1 2 1
Cartesian
-1.364 -2.546 0.476
-2.457 -0.104 1.301
0.000 0.000 0.000
-0.039 -1.210 2.525
```

---

A geometry-optimized LiTcTe2 structure, computed with PBE-GGA.

Computed properties:
- ΔE to the lowest computed polymorph (meV/atom) = 104
- volume (Å³/cell) = 76.6
- total magnetization (Bohr magnetons per cell) = 0.00

```
LiTcTe2
1.0
0.000 3.371 3.371
3.371 0.000 3.371
3.371 3.371 0.000
Li Te Tc
1 2 1
Cartesian
0.000 0.000 0.000
5.056 5.056 5.056
1.685 1.685 1.685
3.371 3.371 3.371
```

---

A geometry-optimized LiTcTe structure, computed with PBE-GGA.

Computed properties:
- ΔE to the lowest computed polymorph (meV/atom) = 215
- volume (Å³/cell) = 57.8
- total magnetization (Bohr magnetons per cell) = 0.00

```
LiTcTe
1.0
4.339 0.000 0.000
2.169 3.758 0.000
2.169 1.253 3.543
Te Tc Li
1 1 1
Cartesian
2.169 1.253 0.886
4.339 2.505 1.771
0.000 0.000 0.000
```

---

A geometry-optimized Li2TcTe structure, computed with PBE-GGA.

Computed properties:
- calculated total energy (eV per formula unit) = -16.8
- volume (Å³/cell) = 69.1
- total magnetization (Bohr magnetons per cell) = 0.62

```
Li2TcTe
1.0
-2.562 -3.491 1.221
1.113 0.068 -5.414
2.353 -2.106 -0.401
Li Tc Te
2 1 1
Cartesian
-0.104 -2.798 0.410
0.000 0.000 0.000
1.733 -1.019 -2.908
-0.724 -1.711 -2.096
```

---

Copy entry 1 word for word.
A geometry-optimized Li2TcTe structure, computed with PBE-GGA.

Computed properties:
- calculated total energy (eV per formula unit) = -17.2
- volume (Å³/cell) = 64.2
- total magnetization (Bohr magnetons per cell) = 0.61

```
Li2TcTe
1.0
-1.132 1.233 3.350
-3.783 -1.441 -0.748
1.055 -3.652 1.700
Te Li Tc
1 2 1
Cartesian
-1.364 -2.546 0.476
-2.457 -0.104 1.301
0.000 0.000 0.000
-0.039 -1.210 2.525
```

---

Which formula does entry 1 have?
Li2TcTe

---

What is the volume in the first record?
64.2 Å³/cell